# PBE NdCoS2, relaxed
# N(E_F)	5.8	states/eV per cell
# formation energy (no corrections)	-0.45	eV/atom
data_NdCoS2
_space_group_name_H-M_alt 'R -3 m'
_space_group_IT_number 166
_space_group_name_Hall '-R 3 2"'
_cell_length_a 3.5211
_cell_length_b 3.5211
_cell_length_c 23.3032
_cell_angle_alpha 90.00
_cell_angle_beta 90.00
_cell_angle_gamma 120.00
loop_
_atom_site_label
_atom_site_fract_x
_atom_site_fract_y
_atom_site_fract_z
Nd1 0.0000 0.0000 0.0000
Co1 0.0000 0.0000 0.5000
S1 0.0000 0.0000 0.1199

# PBE Nd8Co2S, relaxed
# N(E_F)	26.7	states/eV per cell
# formation energy (no corrections)	-0.35	eV/atom
data_Nd8Co2S
_space_group_name_H-M_alt 'C 1 2/m 1'
_space_group_IT_number 12
_cell_length_a 18.751
_cell_length_b 3.837
_cell_length_c 8.906
_cell_angle_alpha 90.00
_cell_angle_beta 94.96
_cell_angle_gamma 90.00
loop_
_space_group_symop_operation_xyz
'x,y,z'
'-x,-y,-z'
'-x,y,-z'
'x,-y,z'
'x+1/2,y+1/2,z'
'-x+1/2,-y+1/2,-z'
'-x+1/2,y+1/2,-z'
'x+1/2,-y+1/2,z'
loop_
_atom_site_label
_atom_site_fract_x
_atom_site_fract_y
_atom_site_fract_z
Nd1 0.015 0.000 0.225
Nd2 0.105 0.500 0.560
Nd3 0.155 0.500 0.972
Nd4 0.218 0.000 0.326
Co1 0.175 0.000 0.749
S1 0.000 0.500 0.000

# PBE NdCoSb2, relaxed
# N(E_F)	4.4	states/eV per cell
# formation energy (no corrections)	-0.63	eV/atom
data_NdCoSb2
_space_group_name_H-M_alt 'P 4/n m m'
_space_group_IT_number 129
_cell_length_a 4.384
_cell_length_b 4.384
_cell_length_c 9.836
_cell_angle_alpha 90.00
_cell_angle_beta 90.00
_cell_angle_gamma 90.00
loop_
_space_group_symop_operation_xyz
'x,y,z'
'-x,-y,-z'
'-y+1/2,x,z'
'y+1/2,-x,-z'
'-x+1/2,-y+1/2,z'
'x+1/2,y+1/2,-z'
'y,-x+1/2,z'
'-y,x+1/2,-z'
'x+1/2,-y,-z'
'-x+1/2,y,z'
'-y,-x,-z'
'y,x,z'
'-x,y+1/2,-z'
'x,-y+1/2,z'
'y+1/2,x+1/2,-z'
'-y+1/2,-x+1/2,z'
loop_
_atom_site_label
_atom_site_fract_x
_atom_site_fract_y
_atom_site_fract_z
Nd1 0.250 0.250 0.242
Co1 0.250 0.750 0.000
Sb1 0.250 0.250 0.867
Sb2 0.250 0.750 0.500

# PBE Nd6Co2Sb, relaxed
# N(E_F)	32.7	states/eV per cell
# formation energy (no corrections)	-0.27	eV/atom
data_Nd6Co2Sb
_space_group_name_H-M_alt 'I m m m'
_space_group_IT_number 71
_space_group_name_Hall '-I 2 2'
_cell_length_a 9.602
_cell_length_b 10.138
_cell_length_c 10.339
_cell_angle_alpha 90.00
_cell_angle_beta 90.00
_cell_angle_gamma 90.00
loop_
_atom_site_label
_atom_site_fract_x
_atom_site_fract_y
_atom_site_fract_z
Nd1 0.000 0.204 0.233
Nd2 0.184 0.500 0.176
Nd3 0.215 0.316 0.500
Co1 0.000 0.350 0.000
Co2 0.000 0.500 0.392
Sb1 0.000 0.000 0.000
Sb2 0.000 0.000 0.500

# PBE Nd5Co2Sb, relaxed
# N(E_F)	32.6	states/eV per cell
# formation energy (no corrections)	-0.34	eV/atom
data_Nd5Co2Sb
_space_group_name_H-M_alt 'I 4/m c m'
_space_group_IT_number 140
_space_group_name_Hall '-I 4 2c'
_cell_length_a 7.902
_cell_length_b 7.902
_cell_length_c 13.612
_cell_angle_alpha 90.00
_cell_angle_beta 90.00
_cell_angle_gamma 90.00
loop_
_atom_site_label
_atom_site_fract_x
_atom_site_fract_y
_atom_site_fract_z
Nd1 0.000 0.000 0.000
Nd2 0.158 0.342 0.134
Co1 0.138 0.362 0.500
Sb1 0.000 0.000 0.250

# PBE Nd8CoSb2, relaxed
# N(E_F)	23.8	states/eV per cell
# formation energy (no corrections)	-0.40	eV/atom
data_Nd8CoSb2
_space_group_name_H-M_alt 'C 1 2/m 1'
_space_group_IT_number 12
_cell_length_a 19.069
_cell_length_b 4.665
_cell_length_c 7.740
_cell_angle_alpha 90.00
_cell_angle_beta 98.28
_cell_angle_gamma 90.00
loop_
_space_group_symop_operation_xyz
'x,y,z'
'-x,-y,-z'
'-x,y,-z'
'x,-y,z'
'x+1/2,y+1/2,z'
'-x+1/2,-y+1/2,-z'
'-x+1/2,y+1/2,-z'
'x+1/2,-y+1/2,z'
loop_
_atom_site_label
_atom_site_fract_x
_atom_site_fract_y
_atom_site_fract_z
Nd1 0.004 0.000 0.287
Nd2 0.094 0.500 0.016
Nd3 0.142 0.500 0.528
Nd4 0.214 0.000 0.849
Co1 0.000 0.500 0.500
Sb1 0.183 0.000 0.267

# PBE NdCoSb3, relaxed
# N(E_F)	20.0	states/eV per cell
# formation energy (no corrections)	-0.57	eV/atom
# distance to the lowest polymorph of the same formula	0.000	eV per formula unit
data_NdCoSb3
_space_group_name_H-M_alt 'P b c m'
_space_group_IT_number 57
_cell_length_a 12.791
_cell_length_b 6.169
_cell_length_c 12.152
_cell_angle_alpha 90.00
_cell_angle_beta 90.00
_cell_angle_gamma 90.00
loop_
_space_group_symop_operation_xyz
'x,y,z'
'-x,-y,-z'
'-x,-y,z+1/2'
'x,y,-z+1/2'
'x,-y+1/2,-z'
'-x,y+1/2,z'
'-x,y+1/2,-z+1/2'
'x,-y+1/2,z+1/2'
loop_
_atom_site_label
_atom_site_fract_x
_atom_site_fract_y
_atom_site_fract_z
Nd1 0.197 0.222 0.250
Nd2 0.200 0.750 0.000
Co1 0.402 0.039 0.636
Sb1 0.002 0.016 0.624
Sb2 0.281 0.250 0.000
Sb3 0.287 0.731 0.250
Sb4 0.445 0.114 0.250
Sb5 0.472 0.750 0.000

# PBE NdCoSb3, relaxed
# N(E_F)	12.9	states/eV per cell
# formation energy (no corrections)	-0.53	eV/atom
# distance to the lowest polymorph of the same formula	0.214	eV per formula unit
data_NdCoSb3
_space_group_name_H-M_alt 'P b c m'
_space_group_IT_number 57
_cell_length_a 12.863
_cell_length_b 6.154
_cell_length_c 6.009
_cell_angle_alpha 90.00
_cell_angle_beta 90.00
_cell_angle_gamma 90.00
loop_
_space_group_symop_operation_xyz
'x,y,z'
'-x,-y,-z'
'-x,-y,z+1/2'
'x,y,-z+1/2'
'x,-y+1/2,-z'
'-x,y+1/2,z'
'-x,y+1/2,-z+1/2'
'x,-y+1/2,z+1/2'
loop_
_atom_site_label
_atom_site_fract_x
_atom_site_fract_y
_atom_site_fract_z
Nd1 0.197 0.001 0.250
Co1 0.407 0.750 0.000
Sb1 0.002 0.750 0.000
Sb2 0.287 0.000 0.750
Sb3 0.446 0.092 0.250

# PBE Nd12Co6Sb, relaxed
# N(E_F)	20.9	states/eV per cell
# formation energy (no corrections)	-0.20	eV/atom
data_Nd12Co6Sb
_space_group_name_H-M_alt 'I m -3'
_space_group_IT_number 204
_space_group_name_Hall '-I 2 2 3'
_cell_length_a 10.025
_cell_length_b 10.025
_cell_length_c 10.025
_cell_angle_alpha 90.00
_cell_angle_beta 90.00
_cell_angle_gamma 90.00
loop_
_atom_site_label
_atom_site_fract_x
_atom_site_fract_y
_atom_site_fract_z
Nd1 0.000 0.194 0.307
Co1 0.000 0.389 0.500
Sb1 0.000 0.000 0.000

# PBE Nd4CoSb, relaxed
# N(E_F)	20.3	states/eV per cell
# formation energy (no corrections)	-0.34	eV/atom
data_Nd4CoSb
_space_group_name_H-M_alt 'C 1 2/c 1'
_space_group_IT_number 15
_cell_length_a 15.790
_cell_length_b 6.064
_cell_length_c 7.706
_cell_angle_alpha 90.00
_cell_angle_beta 106.71
_cell_angle_gamma 90.00
loop_
_space_group_symop_operation_xyz
'x,y,z'
'-x,-y,-z'
'-x,y,-z+1/2'
'x,-y,z+1/2'
'x+1/2,y+1/2,z'
'-x+1/2,-y+1/2,-z'
'-x+1/2,y+1/2,-z+1/2'
'x+1/2,-y+1/2,z+1/2'
loop_
_atom_site_label
_atom_site_fract_x
_atom_site_fract_y
_atom_site_fract_z
Nd1 0.083 0.126 0.445
Nd2 0.181 0.394 0.144
Co1 0.250 0.250 0.500
Sb1 0.000 0.373 0.750

# PBE Nd2CoSb4, relaxed
# N(E_F)	3.9	states/eV per cell
# formation energy (no corrections)	-0.71	eV/atom
data_Nd2CoSb4
_space_group_name_H-M_alt 'P -4 m 2'
_space_group_IT_number 115
_cell_length_a 4.389
_cell_length_b 4.389
_cell_length_c 9.702
_cell_angle_alpha 90.00
_cell_angle_beta 90.00
_cell_angle_gamma 90.00
loop_
_space_group_symop_operation_xyz
'x,y,z'
'y,-x,-z'
'-x,-y,z'
'-y,x,-z'
'-x,y,z'
'-y,-x,-z'
'x,-y,z'
'y,x,-z'
loop_
_atom_site_label
_atom_site_fract_x
_atom_site_fract_y
_atom_site_fract_z
Nd1 0.000 0.500 0.237
Co1 0.000 0.000 0.000
Sb1 0.000 0.000 0.500
Sb2 0.000 0.500 0.880
Sb3 0.500 0.500 0.500

# PBE Nd2Sc5Co2, relaxed
# N(E_F)	39.6	states/eV per cell
# energy of formation	-12.6	kJ/mol of atoms
data_Nd2Sc5Co2
_space_group_name_H-M_alt 'C m c e'
_space_group_IT_number 64
_space_group_name_Hall '-C 2ac 2'
_cell_length_a 18.953
_cell_length_b 6.658
_cell_length_c 6.630
_cell_angle_alpha 90.00
_cell_angle_beta 90.00
_cell_angle_gamma 90.00
loop_
_atom_site_label
_atom_site_fract_x
_atom_site_fract_y
_atom_site_fract_z
Nd1 0.229 0.000 0.000
Sc1 0.000 0.000 0.000
Sc2 0.101 0.180 0.323
Co1 0.000 0.120 0.618

# PBE NdScCo4, relaxed
# N(E_F)	32.6	states/eV per cell
# energy of formation	-15.0	kJ/mol of atoms
data_NdScCo4
_space_group_name_H-M_alt 'F -4 3 m'
_space_group_IT_number 216
_space_group_name_Hall 'F -4 2 3'
_cell_length_a 7.126
_cell_length_b 7.126
_cell_length_c 7.126
_cell_angle_alpha 90.00
_cell_angle_beta 90.00
_cell_angle_gamma 90.00
loop_
_atom_site_label
_atom_site_fract_x
_atom_site_fract_y
_atom_site_fract_z
Nd1 0.000 0.000 0.000
Sc1 0.250 0.250 0.750
Co1 0.124 0.124 0.376

# PBE NdScCo, relaxed
# N(E_F)	3.2	states/eV per cell
# energy of formation	1.7	kJ/mol of atoms
# distance to the lowest polymorph of the same formula	0.372	eV per formula unit
data_NdScCo
_space_group_name_H-M_alt 'P 3 m 1'
_space_group_IT_number 156
_cell_length_a 3.8576
_cell_length_b 3.8576
_cell_length_c 5.7763
_cell_angle_alpha 90.00
_cell_angle_beta 90.00
_cell_angle_gamma 120.00
loop_
_space_group_symop_operation_xyz
'x,y,z'
'-y,x-y,z'
'-x+y,-x,z'
'-y,-x,z'
'-x+y,y,z'
'x,x-y,z'
loop_
_atom_site_label
_atom_site_fract_x
_atom_site_fract_y
_atom_site_fract_z
Nd1 0.0000 0.0000 0.0000
Sc1 0.6667 0.3333 0.4788
Co1 0.3333 0.6667 0.2787

# PBE Nd2ScCo, relaxed
# N(E_F)	17.5	states/eV per cell
# energy of formation	30.6	kJ/mol of atoms
data_Nd2ScCo
_space_group_name_H-M_alt 'R -3 m'
_space_group_IT_number 166
_space_group_name_Hall '-R 3 2"'
_cell_length_a 3.5591
_cell_length_b 3.5591
_cell_length_c 30.6923
_cell_angle_alpha 90.00
_cell_angle_beta 90.00
_cell_angle_gamma 120.00
loop_
_atom_site_label
_atom_site_fract_x
_atom_site_fract_y
_atom_site_fract_z
Nd1 0.0000 0.0000 0.1085
Sc1 0.0000 0.0000 0.0000
Co1 0.0000 0.0000 0.5000

# PBE NdScCo2, relaxed
# N(E_F)	3.2	states/eV per cell
# energy of formation	-9.1	kJ/mol of atoms
# distance to the lowest polymorph of the same formula	0.000	eV per formula unit
data_NdScCo2
_space_group_name_H-M_alt 'P 4/m m m'
_space_group_IT_number 123
_space_group_name_Hall '-P 4 2'
_cell_length_a 3.297
_cell_length_b 3.297
_cell_length_c 6.615
_cell_angle_alpha 90.00
_cell_angle_beta 90.00
_cell_angle_gamma 90.00
loop_
_atom_site_label
_atom_site_fract_x
_atom_site_fract_y
_atom_site_fract_z
Nd1 0.000 0.000 0.000
Sc1 0.000 0.000 0.500
Co1 0.500 0.500 0.281

# PBE NdScCo2, relaxed
# N(E_F)	3.5	states/eV per cell
# energy of formation	-7.4	kJ/mol of atoms
# distance to the lowest polymorph of the same formula	0.070	eV per formula unit
data_NdScCo2
_space_group_name_H-M_alt 'F m -3 m'
_space_group_IT_number 225
_space_group_name_Hall '-F 4 2 3'
_cell_length_a 6.601
_cell_length_b 6.601
_cell_length_c 6.601
_cell_angle_alpha 90.00
_cell_angle_beta 90.00
_cell_angle_gamma 90.00
loop_
_atom_site_label
_atom_site_fract_x
_atom_site_fract_y
_atom_site_fract_z
Nd1 0.000 0.000 0.000
Sc1 0.000 0.000 0.500
Co1 0.250 0.250 0.250

# PBE NdSc3Co, relaxed
# N(E_F)	5.6	states/eV per cell
# energy of formation	-10.6	kJ/mol of atoms
# distance to the lowest polymorph of the same formula	0.091	eV per formula unit
data_NdSc3Co
_space_group_name_H-M_alt 'P m -3 m'
_space_group_IT_number 221
_space_group_name_Hall '-P 4 2 3'
_cell_length_a 4.964
_cell_length_b 4.964
_cell_length_c 4.964
_cell_angle_alpha 90.00
_cell_angle_beta 90.00
_cell_angle_gamma 90.00
loop_
_atom_site_label
_atom_site_fract_x
_atom_site_fract_y
_atom_site_fract_z
Nd1 0.000 0.000 0.000
Sc1 0.000 0.500 0.500
Co1 0.500 0.500 0.500

# PBE NdScCo, relaxed
# N(E_F)	5.1	states/eV per cell
# energy of formation	-6.7	kJ/mol of atoms
# distance to the lowest polymorph of the same formula	0.112	eV per formula unit
data_NdScCo
_space_group_name_H-M_alt 'I 4 m m'
_space_group_IT_number 107
_space_group_name_Hall 'I 4 -2'
_cell_length_a 3.301
_cell_length_b 3.301
_cell_length_c 12.315
_cell_angle_alpha 90.00
_cell_angle_beta 90.00
_cell_angle_gamma 90.00
loop_
_atom_site_label
_atom_site_fract_x
_atom_site_fract_y
_atom_site_fract_z
Nd1 0.000 0.000 0.000
Sc1 0.000 0.000 0.261
Co1 0.000 0.000 0.653

# PBE NdSc5Co4, relaxed
# N(E_F)	4.5	states/eV per cell
# energy of formation	-27.0	kJ/mol of atoms
data_NdSc5Co4
_space_group_name_H-M_alt 'P 4/m m m'
_space_group_IT_number 123
_space_group_name_Hall '-P 4 2'
_cell_length_a 3.160
_cell_length_b 3.160
_cell_length_c 17.936
_cell_angle_alpha 90.00
_cell_angle_beta 90.00
_cell_angle_gamma 90.00
loop_
_atom_site_label
_atom_site_fract_x
_atom_site_fract_y
_atom_site_fract_z
Nd1 0.000 0.000 0.000
Sc1 0.500 0.500 0.156
Sc2 0.500 0.500 0.328
Sc3 0.500 0.500 0.500
Co1 0.000 0.000 0.238
Co2 0.000 0.000 0.413

# PBE NdSc3Co, relaxed
# N(E_F)	24.4	states/eV per cell
# energy of formation	-12.3	kJ/mol of atoms
# distance to the lowest polymorph of the same formula	0.000	eV per formula unit
data_NdSc3Co
_space_group_name_H-M_alt 'C 1 2/m 1'
_space_group_IT_number 12
_cell_length_a 12.442
_cell_length_b 3.562
_cell_length_c 10.551
_cell_angle_alpha 90.00
_cell_angle_beta 92.21
_cell_angle_gamma 90.00
loop_
_space_group_symop_operation_xyz
'x,y,z'
'-x,-y,-z'
'-x,y,-z'
'x,-y,z'
'x+1/2,y+1/2,z'
'-x+1/2,-y+1/2,-z'
'-x+1/2,y+1/2,-z'
'x+1/2,-y+1/2,z'
loop_
_atom_site_label
_atom_site_fract_x
_atom_site_fract_y
_atom_site_fract_z
Nd1 0.151 0.000 0.085
Sc1 0.060 0.000 0.375
Sc2 0.078 0.500 0.818
Sc3 0.224 0.000 0.630
Co1 0.092 0.500 0.560